Tl5Bi3Pb3 after structural relaxation. Source: Alexandria via LeMat-Bulk, functional PBE.

Cell: 4.645 10.476 10.476 Å, 120.00 90.00 90.00°
Sites, in units of the cell vectors:
Pb: 0.000 0.807 0.807
Pb: 0.000 0.000 0.193
Pb: 0.000 0.193 0.000
Bi: 0.500 0.000 0.394
Bi: 0.500 0.606 0.606
Bi: 0.500 0.394 0.000
Tl: 0.500 0.333 0.667
Tl: 0.500 0.667 0.333
Tl: 0.500 0.000 0.712
Tl: 0.500 0.712 0.000
Tl: 0.500 0.288 0.288

Output
energy of formation from the pure elements	0.115	eV/atom
space group	P-62m, No. 189
calculated volume	40.13	A^3/atom
total magnetic moment	0.000	μB per atom
density	8.54	g/cm³
distance to the lowest polymorph of the same formula	0.000	eV/f.u.